(1)
First-principles (GGA-PBE) data for an optimized crystal structure of AlZn14Ag, as listed in Alexandria via LeMat-Bulk.

The energy relative to the elements is -0.3 meV/atom.

The structure belongs to space group Amm2 (No. 38); the cell edges are 9.754, 5.393 and 9.351 Å and the angles 90.00°, 90.00° and 90.00°. The distinct sites, in fractional coordinates, are Al at (0.000, 0.000, 0.000), Zn at (0.000, 0.249, 0.250), Zn at (0.253, 0.000, 0.668), Zn at (0.253, 0.249, 0.917), Zn at (0.254, 0.000, 0.167), Zn at (0.500, 0.000, 0.334), Zn at (0.500, 0.000, 0.834), Zn at (0.500, 0.249, 0.084) and Ag at (0.000, 0.000, 0.500).

---

(2)
First-principles (GGA-PBE) data for an optimized crystal structure of NaSn2Br, as listed in Alexandria via LeMat-Bulk.

As for the raw formation energy: 0.1037 eV/atom.

The structure belongs to space group Fm-3m (No. 225); the cell edges are 7.684, 7.684 and 7.684 Å and the angles 90.00°, 90.00° and 90.00°. The distinct sites, in fractional coordinates, are Na at (0.000, 0.000, 0.000), Sn at (0.250, 0.250, 0.250) and Br at (0.000, 0.000, 0.500).

---

(3)
First-principles (GGA-PBE) data for an optimized crystal structure of Li4Al3Cu4, as listed in Alexandria via LeMat-Bulk.

The energy relative to the elements is -150.9 meV/atom.

The structure belongs to space group P-1 (No. 2); the cell edges are 2.644, 3.806 and 15.100 Å and the angles 82.77°, 85.16° and 89.92°. The distinct sites, in fractional coordinates, are Li at (0.089, 0.088, 0.324), Li at (0.274, 0.274, 0.952), Al at (0.000, 0.000, 0.500), Al at (0.363, 0.363, 0.775), Cu at (0.176, 0.176, 0.147) and Cu at (0.456, 0.455, 0.588).

---

(4)
First-principles (GGA-PBE) data for an optimized crystal structure of Tb4ErTh5, as listed in Alexandria via LeMat-Bulk.

The energy relative to the elements is 131.2 meV/atom.

The structure belongs to space group C2/m (No. 12); the cell edges are 17.607, 3.443 and 11.190 Å and the angles 90.00°, 107.49° and 90.00°. The distinct sites, in fractional coordinates, are Tb at (0.093, 0.000, 0.308), Tb at (0.197, 0.500, 0.590), Er at (0.000, 0.500, 0.500), Th at (0.000, 0.500, 0.000), Th at (0.109, 0.000, 0.794) and Th at (0.197, 0.000, 0.093).

---

(5)
First-principles (GGA-PBE) data for an optimized crystal structure of Pm3Sm2Hg7, as listed in Alexandria via LeMat-Bulk.

The energy relative to the elements is -326.9 meV/atom.

The structure belongs to space group Cmmm (No. 65); the cell edges are 5.236, 23.416 and 5.559 Å and the angles 90.00°, 90.00° and 90.00°. The distinct sites, in fractional coordinates, are Pm at (0.000, 0.000, 0.000), Pm at (0.000, 0.169, 0.000), Sm at (0.000, 0.357, 0.500), Hg at (0.000, 0.074, 0.500), Hg at (0.000, 0.224, 0.500), Hg at (0.000, 0.416, 0.000) and Hg at (0.000, 0.500, 0.500).

---

(6)
First-principles (GGA-PBE) data for an optimized crystal structure of TmCuAgRh, as listed in Alexandria via LeMat-Bulk.

The energy relative to the elements is -286.3 meV/atom.

The structure belongs to space group F-43m (No. 216); the cell edges are 6.538, 6.538 and 6.538 Å and the angles 90.00°, 90.00° and 90.00°. The distinct sites, in fractional coordinates, are Tm at (0.000, 0.000, 0.000), Cu at (0.250, 0.250, 0.750), Ag at (0.000, 0.000, 0.500) and Rh at (0.250, 0.250, 0.250).

---

(7)
First-principles (GGA-PBE) data for an optimized crystal structure of K2Ca3NpF12, as listed in Alexandria via LeMat-Bulk.

As for the raw formation energy: -3.4815 eV/atom.

The structure belongs to space group R-3m (No. 166, hexagonal axes); the cell edges are 8.0286, 8.0286 and 21.4210 Å and the angles 90.00°, 90.00° and 120.00°. The distinct sites, in fractional coordinates, are K at (0.0000, 0.0000, 0.0759), Ca at (0.0000, 0.5000, 0.0000), Np at (0.0000, 0.0000, 0.5000), F at (0.0481, 0.5240, 0.3584) and F at (0.0840, 0.5420, 0.1062).

---

(8)
First-principles (GGA-PBE) data for an optimized crystal structure of Tb8PmNd2, as listed in Alexandria via LeMat-Bulk.

The energy relative to the elements is 16.8 meV/atom.

The structure belongs to space group C2/m (No. 12); the cell edges are 18.296, 5.079 and 8.034 Å and the angles 90.00°, 105.30° and 90.00°. The distinct sites, in fractional coordinates, are Tb at (0.045, 0.000, 0.227), Tb at (0.090, 0.500, 0.955), Tb at (0.136, 0.000, 0.680), Tb at (0.182, 0.500, 0.408), Pm at (0.000, 0.500, 0.500) and Nd at (0.227, 0.000, 0.137).

---

(9)
First-principles (GGA-PBE) data for an optimized crystal structure of CsScSnTe3, as listed in Alexandria via LeMat-Bulk.

As for the raw formation energy: -0.9392 eV/atom.

The structure belongs to space group P2_1/m (No. 11); the cell edges are 9.839, 4.349 and 11.884 Å and the angles 90.00°, 111.66° and 90.00°. The distinct sites, in fractional coordinates, are Cs at (0.217, 0.250, 0.263), Sc at (0.372, 0.750, 0.850), Sn at (0.130, 0.250, 0.561), Te at (0.145, 0.250, 0.806), Te at (0.346, 0.750, 0.589) and Te at (0.412, 0.750, 0.105).

---

(10)
First-principles (GGA-PBE) data for an optimized crystal structure of Pm5Mg4Au, as listed in Alexandria via LeMat-Bulk.

The energy relative to the elements is -242.0 meV/atom.

The structure belongs to space group P4/mmm (No. 123); the cell edges are 3.826, 3.826 and 19.073 Å and the angles 90.00°, 90.00° and 90.00°. The distinct sites, in fractional coordinates, are Pm at (0.000, 0.000, 0.000), Pm at (0.000, 0.000, 0.205), Pm at (0.000, 0.000, 0.409), Mg at (0.500, 0.500, 0.103), Mg at (0.500, 0.500, 0.304) and Au at (0.500, 0.500, 0.500).

---

(11)
First-principles (GGA-PBE) data for an optimized crystal structure of AlCr2Ru, as listed in Alexandria via LeMat-Bulk.

The energy relative to the elements is -168.1 meV/atom.

The structure belongs to space group F-43m (No. 216); the cell edges are 5.959, 5.959 and 5.959 Å and the angles 90.00°, 90.00° and 90.00°. The distinct sites, in fractional coordinates, are Al at (0.000, 0.000, 0.000), Cr at (0.000, 0.000, 0.500), Cr at (0.250, 0.250, 0.750) and Ru at (0.250, 0.250, 0.250).

---

Calculated size of the total moment in order - 0.00 0.00 0.00 0.00 0.00 0.00 9.00 0.00 0.00 0.00 3.92 μB/cell